Entry from Alexandria: a geometry-optimized Pr3DyAl8 structure (PBE).

Values from the calculation:
formation enthalpy at 0 K = -479 meV/atom
polymorph energy (0 for the lowest one) = 11 meV/atom

```
Pr3DyAl8
1.0
-5.620 -0.545 0.486
2.642 -1.910 -4.636
1.162 -8.320 4.090
Al Pr Dy
8 3 1
Direct
0.333 0.667 0.502
0.504 0.008 0.746
0.333 0.667 0.998
0.676 0.838 0.253
0.992 0.496 0.746
0.504 0.496 0.746
0.162 0.838 0.253
0.162 0.324 0.253
0.000 0.000 0.932
0.667 0.333 0.433
0.667 0.333 0.069
0.000 0.000 0.568
```

---

Entry from Alexandria: a geometry-optimized TaNb4Ir structure (PBE).

Values from the calculation:
formation enthalpy at 0 K = -20 meV/atom

```
TaNb4Ir
1.0
4.608 0.000 0.000
0.000 6.344 0.000
0.000 0.000 7.430
Nb Ir Ta
8 2 2
Direct
0.000 0.500 0.000
0.500 0.013 0.322
0.500 0.250 0.982
0.000 0.000 0.000
0.500 0.487 0.322
0.500 0.750 0.018
0.500 0.987 0.678
0.500 0.513 0.678
0.000 0.250 0.281
0.000 0.750 0.719
0.000 0.250 0.633
0.000 0.750 0.367
```